Entry 1:
Computed, not measured: a relaxed TcPdSe2Br crystal at the PBE level of DFT.

## Properties
The value obtained for the energy relative to the elements, uncorrected is 0.51 eV/atom. For the calculated volume, the calculation gives 122 Å³ per cell. The offset from the most stable computed form is 0 meV per atom. The total magnetization is 0.000 μB/cell. The density comes out at 6.025 g/cm³. As for the crystal system: tetragonal.

Cell and atoms, written as CIF:
```
data_TcPdSe2Br
_cell_length_a 4.748
_cell_length_b 4.748
_cell_length_c 5.406
_cell_angle_alpha 90.00
_cell_angle_beta 90.00
_cell_angle_gamma 90.00
_space_group_name_H-M_alt 'P 4/m m m'
_space_group_IT_number 123
_space_group_name_Hall '-P 4 2'
loop_
_atom_site_label
_atom_site_fract_x
_atom_site_fract_y
_atom_site_fract_z
_atom_site_occupancy
Tc1 0.000 0.000 0.000 1
Pd1 0.500 0.500 0.500 1
Se1 0.000 0.500 0.000 1
Br1 0.000 0.000 0.500 1
```

***

Entry 2:
Computed, not measured: a relaxed Tb2SiNi crystal at the PBE level of DFT.

## Properties
The value obtained for the energy relative to the elements, uncorrected is -0.44 eV/atom. For the calculated volume, the calculation gives 83 Å³ per cell. The offset from the most stable computed form is 186 meV per atom. The total magnetization is 0.000 μB/cell. The density comes out at 8.047 g/cm³. As for the crystal system: tetragonal.

Cell and atoms, written as CIF:
```
data_Tb2SiNi
_cell_length_a 4.820
_cell_length_b 4.820
_cell_length_c 3.594
_cell_angle_alpha 90.00
_cell_angle_beta 90.00
_cell_angle_gamma 90.00
_space_group_name_H-M_alt 'P 4/m m m'
_space_group_IT_number 123
_space_group_name_Hall '-P 4 2'
loop_
_atom_site_label
_atom_site_fract_x
_atom_site_fract_y
_atom_site_fract_z
_atom_site_occupancy
Tb1 0.000 0.500 0.000 1
Si1 0.000 0.000 0.500 1
Ni1 0.500 0.500 0.500 1
```

***

Entry 3:
Computed, not measured: a relaxed Pr4Y5Th crystal at the PBE level of DFT.

## Properties
For the calculated volume, the calculation gives 340 Å³ per cell. The offset from the most stable computed form is 0 meV per atom. The total magnetization is 0.000 μB/cell. The density comes out at 6.065 g/cm³. As for the crystal system: tetragonal.

Cell and atoms, written as CIF:
```
data_Pr4Y5Th
_cell_length_a 4.202
_cell_length_b 4.202
_cell_length_c 19.228
_cell_angle_alpha 90.00
_cell_angle_beta 90.00
_cell_angle_gamma 90.00
_space_group_name_H-M_alt 'P 4/m m m'
_space_group_IT_number 123
_space_group_name_Hall '-P 4 2'
loop_
_atom_site_label
_atom_site_fract_x
_atom_site_fract_y
_atom_site_fract_z
_atom_site_occupancy
Pr1 0.000 0.000 0.100 1
Pr2 0.000 0.000 0.304 1
Y1 0.500 0.500 0.000 1
Y2 0.500 0.500 0.202 1
Y3 0.500 0.500 0.405 1
Th1 0.000 0.000 0.500 1
```

***

Entry 4:
Computed, not measured: a relaxed ZnFeOs crystal at the PBE level of DFT.

## Properties
For the calculated volume, the calculation gives 40 Å³ per cell. The offset from the most stable computed form is 38 meV per atom. The total magnetization is 1.841 μB/cell. The density comes out at 12.896 g/cm³. As for the crystal system: trigonal.

Cell and atoms, written as CIF:
```
data_ZnFeOs
_cell_length_a 2.6888
_cell_length_b 2.6888
_cell_length_c 6.4059
_cell_angle_alpha 90.00
_cell_angle_beta 90.00
_cell_angle_gamma 120.00
_space_group_name_H-M_alt 'P 3 m 1'
_space_group_IT_number 156
loop_
_space_group_symop_operation_xyz
'x,y,z'
'-y,x-y,z'
'-x+y,-x,z'
'-y,-x,z'
'-x+y,y,z'
'x,x-y,z'
loop_
_atom_site_label
_atom_site_fract_x
_atom_site_fract_y
_atom_site_fract_z
_atom_site_occupancy
Zn1 0.0000 0.0000 0.0000 1
Fe1 0.6667 0.3333 0.3299 1
Os1 0.3333 0.6667 0.6405 1
```

***

Entry 5:
Computed, not measured: a relaxed La6GaCu crystal at the PBE level of DFT.

## Properties
The total energy comes out at -4.75 eV per atom. For the calculated volume, the calculation gives 498 Å³ per cell. The total magnetization is 0.000 μB/cell. The density comes out at 6.442 g/cm³. As for the crystal system: tetragonal.

Cell and atoms, written as CIF:
```
data_La6GaCu
_cell_length_a 5.351
_cell_length_b 5.351
_cell_length_c 17.408
_cell_angle_alpha 90.00
_cell_angle_beta 90.00
_cell_angle_gamma 90.00
_space_group_name_H-M_alt 'I 4/m m m'
_space_group_IT_number 139
_space_group_name_Hall '-I 4 2'
loop_
_atom_site_label
_atom_site_fract_x
_atom_site_fract_y
_atom_site_fract_z
_atom_site_occupancy
La1 0.000 0.000 0.245 1
La2 0.000 0.500 0.101 1
Ga1 0.000 0.000 0.000 1
Cu1 0.000 0.000 0.500 1
```

***

Entry 6:
Computed, not measured: a relaxed Rb2AuI crystal at the PBE level of DFT.

## Properties
The value obtained for the energy relative to the elements, uncorrected is -0.78 eV/atom. For the calculated volume, the calculation gives 1068 Å³ per cell. The offset from the most stable computed form is 91 meV per atom. The total magnetization is 0.000 μB/cell. The density comes out at 3.077 g/cm³. As for the crystal system: tetragonal.

Cell and atoms, written as CIF:
```
data_Rb2AuI
_cell_length_a 8.220
_cell_length_b 8.220
_cell_length_c 15.808
_cell_angle_alpha 90.00
_cell_angle_beta 90.00
_cell_angle_gamma 90.00
_space_group_name_H-M_alt 'I -4 2 d'
_space_group_IT_number 122
_space_group_name_Hall 'I -4 2bw'
loop_
_atom_site_label
_atom_site_fract_x
_atom_site_fract_y
_atom_site_fract_z
_atom_site_occupancy
Rb1 0.233 0.250 0.125 1
Au1 0.000 0.000 0.000 1
I1 0.000 0.000 0.500 1
```

***

Entry 7:
Computed, not measured: a relaxed Pm3Ge2SbRh9 crystal at the PBE level of DFT.

## Properties
The value obtained for the energy relative to the elements, uncorrected is -0.41 eV/atom. For the calculated volume, the calculation gives 319 Å³ per cell. The total magnetization is 0.000 μB/cell. The density comes out at 8.480 g/cm³. As for the crystal system: trigonal.

Cell and atoms, written as CIF:
```
data_Pm3Ge2SbRh9
_cell_length_a 6.3312
_cell_length_b 6.3312
_cell_length_c 9.1845
_cell_angle_alpha 90.00
_cell_angle_beta 90.00
_cell_angle_gamma 120.00
_space_group_name_H-M_alt 'P -3 m 1'
_space_group_IT_number 164
_space_group_name_Hall '-P 3 2"'
loop_
_atom_site_label
_atom_site_fract_x
_atom_site_fract_y
_atom_site_fract_z
_atom_site_occupancy
Pm1 0.0000 0.0000 0.0000 1
Pm2 0.3333 0.6667 0.7346 1
Ge1 0.3333 0.6667 0.1705 1
Sb1 0.0000 0.0000 0.5000 1
Rh1 0.0000 0.5000 0.0000 1
Rh2 0.1412 0.2825 0.2718 1
```

***

Entry 8:
Computed, not measured: a relaxed CaMg2Ta crystal at the PBE level of DFT.

## Properties
The total energy comes out at -3.93 eV per atom. For the calculated volume, the calculation gives 93 Å³ per cell. The total magnetization is 0.000 μB/cell. The density comes out at 4.810 g/cm³. As for the crystal system: tetragonal.

Cell and atoms, written as CIF:
```
data_CaMg2Ta
_cell_length_a 3.140
_cell_length_b 3.140
_cell_length_c 9.440
_cell_angle_alpha 90.00
_cell_angle_beta 90.00
_cell_angle_gamma 90.00
_space_group_name_H-M_alt 'P 4 m m'
_space_group_IT_number 99
loop_
_space_group_symop_operation_xyz
'x,y,z'
'-y,x,z'
'-x,-y,z'
'y,-x,z'
'-x,y,z'
'y,x,z'
'x,-y,z'
'-y,-x,z'
loop_
_atom_site_label
_atom_site_fract_x
_atom_site_fract_y
_atom_site_fract_z
_atom_site_occupancy
Ca1 0.000 0.000 0.000 1
Mg1 0.000 0.000 0.526 1
Mg2 0.500 0.500 0.285 1
Ta1 0.500 0.500 0.739 1
```

***

Entry 9:
Computed, not measured: a relaxed CaLaSi2P crystal at the PBE level of DFT.

## Properties
The value obtained for the energy relative to the elements, uncorrected is 0.06 eV/atom. For the calculated volume, the calculation gives 127 Å³ per cell. The total magnetization is 0.000 μB/cell. The density comes out at 3.485 g/cm³. As for the crystal system: tetragonal.

Cell and atoms, written as CIF:
```
data_CaLaSi2P
_cell_length_a 4.883
_cell_length_b 4.883
_cell_length_c 5.317
_cell_angle_alpha 90.00
_cell_angle_beta 90.00
_cell_angle_gamma 90.00
_space_group_name_H-M_alt 'P 4/m m m'
_space_group_IT_number 123
_space_group_name_Hall '-P 4 2'
loop_
_atom_site_label
_atom_site_fract_x
_atom_site_fract_y
_atom_site_fract_z
_atom_site_occupancy
Ca1 0.000 0.000 0.000 1
La1 0.500 0.500 0.000 1
Si1 0.000 0.500 0.500 1
P1 0.500 0.500 0.500 1
```

***

Entry 10:
Computed, not measured: a relaxed MnSiTe2 crystal at the PBE level of DFT.

## Properties
The value obtained for the energy relative to the elements, uncorrected is 0.42 eV/atom. For the calculated volume, the calculation gives 111 Å³ per cell. The total magnetization is 4.528 μB/cell. The density comes out at 5.074 g/cm³. As for the crystal system: orthorhombic.

Cell and atoms, written as CIF:
```
data_MnSiTe2
_cell_length_a 3.861
_cell_length_b 3.932
_cell_length_c 7.291
_cell_angle_alpha 90.00
_cell_angle_beta 90.00
_cell_angle_gamma 90.00
_space_group_name_H-M_alt 'P m m m'
_space_group_IT_number 47
loop_
_space_group_symop_operation_xyz
'x,y,z'
'-x,-y,-z'
'-x,-y,z'
'x,y,-z'
'x,-y,-z'
'-x,y,z'
'-x,y,-z'
'x,-y,z'
loop_
_atom_site_label
_atom_site_fract_x
_atom_site_fract_y
_atom_site_fract_z
_atom_site_occupancy
Mn1 0.000 0.000 0.000 1
Si1 0.000 0.500 0.500 1
Te1 0.500 0.000 0.500 1
Te2 0.500 0.500 0.000 1
```

***

Entry 11:
Computed, not measured: a relaxed Ac2PbN crystal at the PBE level of DFT.

## Properties
The value obtained for the energy relative to the elements, uncorrected is -0.82 eV/atom. For the calculated volume, the calculation gives 269 Å³ per cell. The offset from the most stable computed form is 0 meV per atom. The total magnetization is 0.321 μB/cell. The density comes out at 8.330 g/cm³. As for the crystal system: monoclinic.

Cell and atoms, written as CIF:
```
data_Ac2PbN
_cell_length_a 5.889
_cell_length_b 6.238
_cell_length_c 7.895
_cell_angle_alpha 90.00
_cell_angle_beta 111.85
_cell_angle_gamma 90.00
_space_group_name_H-M_alt 'P 1 2/m 1'
_space_group_IT_number 10
loop_
_space_group_symop_operation_xyz
'x,y,z'
'-x,-y,-z'
'-x,y,-z'
'x,-y,z'
loop_
_atom_site_label
_atom_site_fract_x
_atom_site_fract_y
_atom_site_fract_z
_atom_site_occupancy
Ac1 0.109 0.000 0.306 1
Ac2 0.302 0.500 0.693 1
Pb1 0.000 0.500 0.000 1
Pb2 0.500 0.000 0.000 1
N1 0.000 0.250 0.500 1
```

***

Entry 12:
Computed, not measured: a relaxed SrScPS2 crystal at the PBE level of DFT.

## Properties
The value obtained for the energy relative to the elements, uncorrected is 0.27 eV/atom. For the calculated volume, the calculation gives 147 Å³ per cell. The offset from the most stable computed form is 1381 meV per atom. The total magnetization is 0.000 μB/cell. The density comes out at 2.579 g/cm³. As for the crystal system: tetragonal.

Cell and atoms, written as CIF:
```
data_SrScPS2
_cell_length_a 5.298
_cell_length_b 5.298
_cell_length_c 5.223
_cell_angle_alpha 90.00
_cell_angle_beta 90.00
_cell_angle_gamma 90.00
_space_group_name_H-M_alt 'P 4/m m m'
_space_group_IT_number 123
_space_group_name_Hall '-P 4 2'
loop_
_atom_site_label
_atom_site_fract_x
_atom_site_fract_y
_atom_site_fract_z
_atom_site_occupancy
Sr1 0.000 0.000 0.000 1
Sc1 0.500 0.500 0.500 1
P1 0.000 0.000 0.500 1
S1 0.000 0.500 0.000 1
```